[1]
LaIrCl | PBE | optimized geometry

Lattice parameters (Å, degrees): 5.672 5.672 5.672 139.77 139.77 58.21
Element x y z (fractional)
La  0.000  0.000  0.000
Ir  0.598  0.598  0.000
Cl  0.336  0.336  0.000

Results
DOS(E_F) in states/eV per cell: 0.53
Theoretical density in kg/m3: 8068
Raw formation energy in eV/atom: -0.566
Energy above the most stable polymorph in this dataset in meV per atom: 920
Space-group type: I4mm (107)
E in eV/cell: -17.33

=====

[2]
La6Ir2NCl2 | PBE | optimized geometry

Lattice parameters (Å, degrees): 7.029 7.029 7.578 99.88 99.88 118.01
Element x y z (fractional)
La  0.070  0.373  0.207
La  0.260  0.260  0.788
La  0.373  0.070  0.207
La  0.627  0.930  0.793
La  0.740  0.740  0.212
La  0.930  0.627  0.793
Ir  0.329  0.671  0.000
Ir  0.671  0.329  0.000
N  0.000  0.000  0.000
Cl  0.173  0.827  0.500
Cl  0.827  0.173  0.500

Results
DOS(E_F) in states/eV per cell: 8.25
Theoretical density in kg/m3: 6941
Raw formation energy in eV/atom: -1.155
Space-group type: C2/m (12)
E in eV/cell: -72.01

=====

[3]
La4IrNCl2 | PBE | optimized geometry

Lattice parameters (Å, degrees): 7.062 3.897 7.816 90.00 108.17 90.00
Element x y z (fractional)
La  0.204  0.000  0.195
La  0.248  0.500  0.795
La  0.752  0.500  0.205
La  0.796  0.000  0.805
Ir  0.500  0.000  0.000
N  0.000  0.500  0.000
Cl  0.000  0.000  0.500
Cl  0.500  0.500  0.500

Results
DOS(E_F) in states/eV per cell: 5.92
Theoretical density in kg/m3: 6766
Raw formation energy in eV/atom: -1.369
Space-group type: P2/m (10)
E in eV/cell: -51.54